First-principles (PBE) data for a geometry-optimized ZnIr2Cl structure, as listed in Alexandria via LeMat-Bulk.

Cell lengths 2.858, 2.846, 7.418 Å; angles 90.00, 90.00, 90.00 degrees
Fractional positions:
Cl1 0.500 0.500 0.750
Ir1 0.000 0.000 0.015
Ir2 0.000 0.000 0.485
Zn1 0.500 0.500 0.250

Computed properties:
E above lowest polymorph	1.88	eV per formula unit
energy	-18.386	eV/cell
formation energy without anion corrections	614	meV per atom
volume	60.34	Å³ per cell



First-principles (PBE) data for a geometry-optimized TcAs2Pt structure, as listed in Alexandria via LeMat-Bulk.

Cell lengths 5.167, 5.167, 3.071 Å; angles 72.94, 72.94, 110.32 degrees
Fractional positions:
As1 0.000 0.000 0.000
As2 0.500 0.500 0.000
Tc1 0.000 0.500 0.500
Pt1 0.500 0.000 0.500

Computed properties:
E above lowest polymorph	1.52	eV per formula unit
energy	-24.598	eV/cell
energy of formation from the pure elements	277	meV per atom
volume	65.98	Å³ per cell



First-principles (PBE) data for a geometry-optimized CrCo2Rh2 structure, as listed in Alexandria via LeMat-Bulk.

Cell lengths 7.045, 7.045, 2.781 Å; angles 90.00, 90.00, 90.00 degrees
Fractional positions:
Co1 0.165 0.665 0.500
Co2 0.665 0.835 0.500
Co3 0.835 0.335 0.500
Co4 0.335 0.165 0.500
Rh1 0.367 0.867 0.000
Rh2 0.867 0.633 0.000
Rh3 0.633 0.133 0.000
Rh4 0.133 0.367 0.000
Cr1 0.000 0.000 0.000
Cr2 0.500 0.500 0.000

Computed properties:
E above lowest polymorph	0.05	eV per formula unit
energy	-74.204	eV/cell
energy of formation from the pure elements	287	meV per atom
volume	138.03	Å³ per cell



First-principles (PBE) data for a geometry-optimized HfTl2I structure, as listed in Alexandria via LeMat-Bulk.

Cell lengths 5.527, 5.527, 5.527 Å; angles 60.00, 60.00, 60.00 degrees
Fractional positions:
I1 0.000 0.000 0.000
Tl1 0.250 0.250 0.250
Tl2 0.750 0.750 0.750
Hf1 0.500 0.500 0.500

Computed properties:
E above lowest polymorph	0.44	eV per formula unit
energy	-13.833	eV/cell
formation energy without anion corrections	601	meV per atom
volume	119.39	Å³ per cell



First-principles (PBE) data for a geometry-optimized InSn3Mo structure, as listed in Alexandria via LeMat-Bulk.

Cell lengths 5.529, 5.529, 5.529 Å; angles 90.00, 90.00, 90.00 degrees
Fractional positions:
Mo1 0.500 0.500 0.500
Sn1 0.000 0.500 0.000
Sn2 0.000 0.000 0.500
Sn3 0.500 0.000 0.000
In1 0.000 0.000 0.000

Computed properties:
E above lowest polymorph	5.34	eV per formula unit
energy	-18.800	eV/cell
energy of formation from the pure elements	1356	meV per atom
volume	169.01	Å³ per cell



First-principles (PBE) data for a geometry-optimized Cd2CuRh structure, as listed in Alexandria via LeMat-Bulk.

Cell lengths 4.156, 4.156, 3.844 Å; angles 90.00, 90.00, 90.00 degrees
Fractional positions:
Rh1 0.000 0.500 0.500
Cu1 0.500 0.000 0.500
Cd1 0.000 0.000 0.000
Cd2 0.500 0.500 0.000

Computed properties:
energy	-13.603	eV/cell
energy of formation from the pure elements	-81	meV per atom
volume	66.39	Å³ per cell



First-principles (PBE) data for a geometry-optimized SrLiTbIn structure, as listed in Alexandria via LeMat-Bulk.

Cell lengths 5.523, 5.523, 5.523 Å; angles 60.00, 60.00, 60.00 degrees
Fractional positions:
Sr1 0.250 0.250 0.250
Li1 0.000 0.000 0.000
Tb1 0.750 0.750 0.750
In1 0.500 0.500 0.500

Computed properties:
energy	-11.733	eV/cell
energy of formation from the pure elements	-192	meV per atom
volume	119.15	Å³ per cell



First-principles (PBE) data for a geometry-optimized EuHoSn structure, as listed in Alexandria via LeMat-Bulk.

Cell lengths 4.119, 4.119, 5.983 Å; angles 110.14, 110.14, 90.00 degrees
Fractional positions:
Eu1 0.275 0.275 0.549
Ho1 0.970 0.970 0.939
Sn1 0.606 0.606 0.212

Computed properties:
E above lowest polymorph	0.00	eV per formula unit
energy	-20.032	eV/cell
energy of formation from the pure elements	-392	meV per atom
volume	88.68	Å³ per cell



First-principles (PBE) data for a geometry-optimized NpAl4Sn structure, as listed in Alexandria via LeMat-Bulk.

Cell lengths 5.529, 5.529, 5.529 Å; angles 60.00, 60.00, 60.00 degrees
Fractional positions:
Np1 0.000 0.000 0.000
Sn1 0.250 0.250 0.250
Al1 0.625 0.625 0.124
Al2 0.625 0.124 0.625
Al3 0.625 0.625 0.625
Al4 0.124 0.625 0.625

Computed properties:
energy	-31.552	eV/cell
energy of formation from the pure elements	60	meV per atom
volume	119.50	Å³ per cell



First-principles (PBE) data for a geometry-optimized LaTb6Ho2 structure, as listed in Alexandria via LeMat-Bulk.

Cell lengths 3.582, 8.751, 12.855 Å; angles 132.67, 81.98, 90.06 degrees
Fractional positions:
La1 0.000 0.000 0.000
Tb1 0.888 0.558 0.223
Tb2 0.112 0.442 0.777
Tb3 0.668 0.662 0.663
Tb4 0.779 0.108 0.443
Tb5 0.221 0.892 0.557
Tb6 0.332 0.338 0.337
Ho1 0.444 0.775 0.112
Ho2 0.556 0.225 0.888

Computed properties:
E above lowest polymorph	0.00	eV per formula unit
energy	-41.689	eV/cell
energy of formation from the pure elements	19	meV per atom
volume	290.98	Å³ per cell



First-principles (PBE) data for a geometry-optimized Sm2ZrCd structure, as listed in Alexandria via LeMat-Bulk.

Cell lengths 3.487, 5.618, 5.618 Å; angles 90.00, 90.00, 90.00 degrees
Fractional positions:
Zr1 0.500 0.500 0.500
Sm1 0.000 0.000 0.500
Sm2 0.000 0.500 0.000
Cd1 0.500 0.000 0.000

Computed properties:
E above lowest polymorph	0.33	eV per formula unit
energy	-18.912	eV/cell
energy of formation from the pure elements	-3	meV per atom
volume	110.03	Å³ per cell



First-principles (PBE) data for a geometry-optimized Al3Cd2Ag5 structure, as listed in Alexandria via LeMat-Bulk.

Cell lengths 5.577, 8.224, 8.224 Å; angles 106.34, 92.39, 92.39 degrees
Fractional positions:
Al1 0.616 0.490 0.771
Al2 0.116 0.771 0.490
Al3 0.384 0.510 0.229
Al4 0.884 0.229 0.510
Al5 0.250 0.029 0.971
Al6 0.750 0.971 0.029
Cd1 0.883 0.618 0.133
Cd2 0.383 0.133 0.618
Cd3 0.117 0.382 0.867
Cd4 0.617 0.867 0.382
Ag1 0.605 0.279 0.963
Ag2 0.105 0.963 0.279
Ag3 0.395 0.721 0.037
Ag4 0.895 0.037 0.721
Ag5 0.995 0.722 0.801
Ag6 0.005 0.278 0.199
Ag7 0.750 0.533 0.467
Ag8 0.250 0.467 0.533
Ag9 0.505 0.199 0.278
Ag10 0.495 0.801 0.722

Computed properties:
energy	-54.645	eV/cell
energy of formation from the pure elements	-1	meV per atom
volume	361.11	Å³ per cell



First-principles (PBE) data for a geometry-optimized Tb3Pr3Ho structure, as listed in Alexandria via LeMat-Bulk.

Cell lengths 8.748, 8.748, 8.907 Å; angles 60.59, 60.59, 60.00 degrees
Fractional positions:
Tb1 0.570 0.725 0.641
Tb2 0.725 0.064 0.641
Tb3 0.064 0.570 0.641
Tb4 0.936 0.430 0.359
Tb5 0.275 0.936 0.359
Tb6 0.430 0.275 0.359
Pr1 0.183 0.703 0.177
Pr2 0.937 0.183 0.177
Pr3 0.703 0.937 0.177
Pr4 0.297 0.063 0.823
Pr5 0.063 0.817 0.823
Pr6 0.817 0.297 0.823
Ho1 0.348 0.348 0.956
Ho2 0.652 0.652 0.044

Computed properties:
energy	-62.149	eV/cell
energy of formation from the pure elements	248	meV per atom
volume	486.26	Å³ per cell



First-principles (PBE) data for a geometry-optimized NaCa2CoGe structure, as listed in Alexandria via LeMat-Bulk.

Cell lengths 5.429, 5.429, 4.535 Å; angles 90.00, 90.00, 90.00 degrees
Fractional positions:
Na1 0.500 0.500 0.500
Ge1 0.000 0.000 0.500
Co1 0.000 0.000 0.000
Ca1 0.000 0.500 0.000
Ca2 0.500 0.000 0.000

Computed properties:
energy	-17.590	eV/cell
energy of formation from the pure elements	-109	meV per atom
volume	133.67	Å³ per cell



First-principles (PBE) data for a geometry-optimized Ba2HfTaTe structure, as listed in Alexandria via LeMat-Bulk.

Cell lengths 6.421, 5.323, 6.421 Å; angles 90.00, 90.00, 90.00 degrees
Fractional positions:
Te1 0.000 0.000 0.000
Hf1 0.000 0.500 0.000
Ba1 0.000 0.000 0.500
Ba2 0.500 0.000 0.000
Ta1 0.500 0.500 0.500

Computed properties:
energy	-23.641	eV/cell
formation energy without anion corrections	1031	meV per atom
volume	219.44	Å³ per cell



First-principles (PBE) data for a geometry-optimized Ba3ThN3 structure, as listed in Alexandria via LeMat-Bulk.

Cell lengths 5.656, 11.345, 11.337 Å; angles 90.00, 90.00, 90.00 degrees
Fractional positions:
Ba1 0.000 0.115 0.634
Ba2 0.500 0.135 0.385
Ba3 0.500 0.146 0.854
Ba4 0.000 0.354 0.354
Ba5 0.000 0.365 0.885
Ba6 0.500 0.385 0.134
Ba7 0.500 0.615 0.866
Ba8 0.000 0.635 0.115
Ba9 0.000 0.646 0.646
Ba10 0.500 0.854 0.146
Ba11 0.500 0.865 0.615
Ba12 0.000 0.885 0.366
Th1 0.000 0.115 0.115
Th2 0.500 0.385 0.615
Th3 0.500 0.615 0.385
Th4 0.000 0.885 0.885
N1 0.000 0.099 0.901
N2 0.000 0.114 0.323
N3 0.500 0.177 0.614
N4 0.000 0.323 0.114
N5 0.500 0.386 0.823
N6 0.500 0.401 0.401
N7 0.500 0.599 0.599
N8 0.500 0.614 0.177
N9 0.000 0.677 0.886
N10 0.500 0.823 0.386
N11 0.000 0.886 0.677
N12 0.000 0.901 0.099

Computed properties:
energy	-172.594	eV/cell
formation energy without anion corrections	-712	meV per atom
volume	727.50	Å³ per cell



First-principles (PBE) data for a geometry-optimized PRuCS2 structure, as listed in Alexandria via LeMat-Bulk.

Cell lengths 4.644, 4.644, 4.481 Å; angles 90.00, 90.00, 90.00 degrees
Fractional positions:
Ru1 0.000 0.000 0.000
S1 0.000 0.500 0.000
S2 0.500 0.000 0.000
C1 0.500 0.500 0.500
P1 0.000 0.000 0.500

Computed properties:
E above lowest polymorph	3.15	eV per formula unit
energy	-22.987	eV/cell
formation energy without anion corrections	1836	meV per atom
volume	96.64	Å³ per cell



First-principles (PBE) data for a geometry-optimized BaMgMnP structure, as listed in Alexandria via LeMat-Bulk.

Cell lengths 3.911, 3.911, 12.943 Å; angles 90.00, 90.00, 90.00 degrees
Fractional positions:
Ba1 0.750 0.750 0.230
Ba2 0.250 0.250 0.770
Mg1 0.250 0.750 0.500
Mg2 0.750 0.250 0.500
Mn1 0.750 0.250 0.000
Mn2 0.250 0.750 0.000
P1 0.750 0.750 0.903
P2 0.250 0.250 0.097

Computed properties:
energy	-39.582	eV/cell
energy of formation from the pure elements	-424	meV per atom
volume	197.93	Å³ per cell



First-principles (PBE) data for a geometry-optimized BaAgOs2 structure, as listed in Alexandria via LeMat-Bulk.

Cell lengths 10.703, 10.703, 10.703 Å; angles 15.60, 15.60, 15.60 degrees
Fractional positions:
Os1 0.990 0.990 0.990
Os2 0.510 0.510 0.510
Ba1 0.750 0.750 0.750
Ag1 0.250 0.250 0.250

Computed properties:
E above lowest polymorph	3.85	eV per formula unit
energy	-21.970	eV/cell
energy of formation from the pure elements	1316	meV per atom
volume	77.22	Å³ per cell



First-principles (PBE) data for a geometry-optimized PrSm2DyTh structure, as listed in Alexandria via LeMat-Bulk.

Cell lengths 6.486, 8.627, 6.411 Å; angles 98.64, 90.00, 90.00 degrees
Fractional positions:
Pr1 0.000 0.000 0.000
Pr2 0.000 0.000 0.500
Sm1 0.687 0.685 0.798
Sm2 0.687 0.315 0.702
Sm3 0.313 0.685 0.298
Sm4 0.313 0.315 0.202
Dy1 0.171 0.500 0.750
Dy2 0.829 0.500 0.250
Th1 0.548 0.000 0.250
Th2 0.452 0.000 0.750

Computed properties:
energy	-49.324	eV/cell
energy of formation from the pure elements	316	meV per atom
volume	354.62	Å³ per cell